No. 1
Below is a relaxed ZrTcAu2 crystal, with properties calculated at the PBE-GGA level.

Summary:
Formation enthalpy at 0 K = -170 meV/atom
Distance to the lowest polymorph of the same formula = 55 meV/atom
Final energy = -6.54 eV per atom
DOS(E_F) = 0.897 states/eV/atom
M_tot = 0.0 μB per formula unit

a b c (Å): 3.4682 3.4682 6.0066
angles (deg): 90.00 90.00 90.00
With the nearest neighbours (Å) after each atom.
Space group P4mm (No. 99)
One atom of each set of equivalent atoms:
Zr 0.0000 0.0000 0.0000 (multiplicity 1)  4 Tc 2.84, 6 Au 2.91-3.09
Tc 0.5000 0.5000 0.7627 (multiplicity 1)  4 Zr 2.84, 6 Au 2.87-3.04
Au 0.0000 0.0000 0.5152 (multiplicity 1)  4 Au 2.87, 4 Tc 2.87, 2 Zr 2.91-3.09
Au 0.5000 0.5000 0.2683 (multiplicity 1)  4 Au 2.87, 4 Zr 2.93, 2 Tc 2.97-3.04

---

No. 2
Below is a relaxed ZrTcAu2 crystal, with properties calculated at the PBE-GGA level.

Summary:
Formation enthalpy at 0 K = -87 meV/atom
Distance to the lowest polymorph of the same formula = 139 meV/atom
Final energy = -6.45 eV per atom
DOS(E_F) = 0.766 states/eV/atom
M_tot = 0.0 μB per formula unit

a b c (Å): 2.9671 4.7113 5.0830
angles (deg): 90.00 90.00 90.00
With the nearest neighbours (Å) after each atom.
Space group Pmm2 (No. 25)
One atom of each set of equivalent atoms:
Zr 0.0000 0.0000 0.0000 (multiplicity 1)  2 Tc 2.86, 8 Au 2.89-3.00, 2 Zr 2.97
Tc 0.0000 0.5000 0.3178 (multiplicity 1)  2 Zr 2.86, 8 Au 2.90-2.99, 2 Tc 2.97
Au 0.5000 0.0000 0.4880 (multiplicity 1)  4 Au 2.86-2.97, 4 Zr 2.89-3.00, 4 Tc 2.92
Au 0.5000 0.5000 0.8075 (multiplicity 1)  4 Au 2.86-2.97, 4 Tc 2.90-2.99, 4 Zr 2.95

---

No. 3
Below is a relaxed Zr2TcAu crystal, with properties calculated at the PBE-GGA level.

Summary:
Formation enthalpy at 0 K = 423 meV/atom
Final energy = -7.26 eV per atom
DOS(E_F) = 0.783 states/eV/atom
M_tot = 0.0 μB per formula unit

a b c (Å): 2.9559 5.1254 10.6294
angles (deg): 90.00 90.00 90.00
With the nearest neighbours (Å) after each atom.
Space group Immm (No. 71)
One atom of each set of equivalent atoms:
Zr 0.0000 0.0000 0.2388 (multiplicity 4)  1 Tc 2.54, 1 Au 2.78
Tc 0.0000 0.0000 0.0000 (multiplicity 2)  2 Zr 2.54
Au 0.0000 0.0000 0.5000 (multiplicity 2)  2 Zr 2.78, 2 Au 2.96, 4 Tc 2.96

---

No. 4
Below is a relaxed ZrTcAu2 crystal, with properties calculated at the PBE-GGA level.

Summary:
Formation enthalpy at 0 K = -130 meV/atom
Distance to the lowest polymorph of the same formula = 96 meV/atom
Final energy = -6.50 eV per atom
DOS(E_F) = 1.003 states/eV/atom
M_tot = 0.7 μB per formula unit

a b c (Å): 4.1287 4.1287 8.3712
angles (deg): 90.00 90.00 90.00
With the nearest neighbours (Å) after each atom.
Space group I-4m2 (No. 119)
One atom of each set of equivalent atoms:
Zr 0.0000 0.0000 0.0000 (multiplicity 2)  8 Au 2.92-2.94, 4 Tc 2.94
Tc 0.0000 0.5000 0.7500 (multiplicity 2)  8 Au 2.92-2.94, 4 Zr 2.94
Au 0.0000 0.0000 0.5000 (multiplicity 2)  4 Zr 2.92, 4 Tc 2.94, 4 Au 2.94
Au 0.0000 0.5000 0.2500 (multiplicity 2)  4 Tc 2.92, 4 Zr 2.94, 4 Au 2.94

---

No. 5
Below is a relaxed ZrTcAu3 crystal, with properties calculated at the PBE-GGA level.

Summary:
Formation enthalpy at 0 K = 1323 meV/atom
Final energy = -4.43 eV per atom
DOS(E_F) = 1.256 states/eV/atom
M_tot = 4.2 μB per formula unit

a b c (Å): 5.1748 5.1748 5.1748
angles (deg): 90.00 90.00 90.00
With the nearest neighbours (Å) after each atom.
Space group Pm-3m (No. 221)
One atom of each set of equivalent atoms:
Zr 0.0000 0.0000 0.0000 (multiplicity 1)  6 Au 2.59
Tc 0.5000 0.5000 0.5000 (multiplicity 1)  12 Au 3.66
Au 0.0000 0.0000 0.5000 (multiplicity 3)  2 Zr 2.59

---

No. 6
Below is a relaxed ZrTc2Au crystal, with properties calculated at the PBE-GGA level.

Summary:
Formation enthalpy at 0 K = 211 meV/atom
Distance to the lowest polymorph of the same formula = 304 meV/atom
Final energy = -7.93 eV per atom
DOS(E_F) = 1.046 states/eV/atom
M_tot = 0.0 μB per formula unit

a b c (Å): 3.3124 4.5241 9.0828
angles (deg): 90.00 90.00 90.00
With the nearest neighbours (Å) after each atom.
Space group Cmmm (No. 65)
One atom of each set of equivalent atoms:
Zr 0.0000 0.0000 0.0000 (multiplicity 2)  4 Tc 2.80, 4 Zr 2.80
Tc 0.0000 0.5000 0.2485 (multiplicity 4)  2 Zr 2.80, 4 Tc 2.80, 2 Au 2.82
Au 0.0000 0.0000 0.5000 (multiplicity 2)  4 Au 2.80, 4 Tc 2.82

---

No. 7
Below is a relaxed ZrTcAu2 crystal, with properties calculated at the PBE-GGA level.

Summary:
Formation enthalpy at 0 K = 159 meV/atom
Distance to the lowest polymorph of the same formula = 384 meV/atom
Final energy = -6.21 eV per atom
DOS(E_F) = 1.148 states/eV/atom
M_tot = 0.0 μB per formula unit

a b c (Å): 2.9485 2.9485 28.8757
angles (deg): 90.00 90.00 120.00
With the nearest neighbours (Å) after each atom.
Space group R3m (No. 160, hexagonal axes)
One atom of each set of equivalent atoms:
Zr 0.0000 0.0000 0.0000 (multiplicity 3)  6 Zr 2.95, 3 Au 2.99, 3 Tc 3.00
Tc 0.0000 0.0000 0.2479 (multiplicity 3)  3 Au 2.83, 6 Tc 2.95, 3 Zr 3.00
Au 0.0000 0.0000 0.5031 (multiplicity 3)  3 Tc 2.83, 9 Au 2.95-2.98
Au 0.0000 0.0000 0.7517 (multiplicity 3)  9 Au 2.95-2.98, 3 Zr 2.99

---

No. 8
Below is a relaxed ZrTc2Au crystal, with properties calculated at the PBE-GGA level.

Summary:
Formation enthalpy at 0 K = -93 meV/atom
Distance to the lowest polymorph of the same formula = 0 meV/atom
Final energy = -8.23 eV per atom
DOS(E_F) = 0.848 states/eV/atom
M_tot = 0.0 μB per formula unit

a b c (Å): 4.0163 4.0163 4.1550
angles (deg): 90.00 90.00 90.00
With the nearest neighbours (Å) after each atom.
Space group P4/mmm (No. 123)
One atom of each set of equivalent atoms:
Zr 0.0000 0.0000 0.0000 (multiplicity 1)  4 Au 2.84, 8 Tc 2.89
Tc 0.0000 0.5000 0.5000 (multiplicity 2)  4 Tc 2.84, 4 Zr 2.89, 4 Au 2.89
Au 0.5000 0.5000 0.0000 (multiplicity 1)  4 Zr 2.84, 8 Tc 2.89

---

No. 9
Below is a relaxed ZrTcAu crystal, with properties calculated at the PBE-GGA level.

Summary:
Formation enthalpy at 0 K = 436 meV/atom
Distance to the lowest polymorph of the same formula = 538 meV/atom
Final energy = -6.96 eV per atom
DOS(E_F) = 1.360 states/eV/atom
M_tot = 1.5 μB per formula unit

a b c (Å): 6.3401 6.3401 6.3401
angles (deg): 90.00 90.00 90.00
With the nearest neighbours (Å) after each atom.
Space group F-43m (No. 216)
One atom of each set of equivalent atoms:
Zr 0.0000 0.0000 0.0000 (multiplicity 4)  4 Tc 2.75
Tc 0.2500 0.2500 0.2500 (multiplicity 4)  4 Zr 2.75, 4 Au 2.75
Au 0.0000 0.0000 0.5000 (multiplicity 4)  4 Tc 2.75

---

No. 10
Below is a relaxed ZrTc2Au crystal, with properties calculated at the PBE-GGA level.

Summary:
Formation enthalpy at 0 K = 389 meV/atom
Distance to the lowest polymorph of the same formula = 482 meV/atom
Final energy = -7.75 eV per atom
DOS(E_F) = 1.691 states/eV/atom
M_tot = 0.0 μB per formula unit

a b c (Å): 2.8520 2.8520 29.2531
angles (deg): 90.00 90.00 120.00
With the nearest neighbours (Å) after each atom.
Space group R-3m (No. 166, hexagonal axes)
One atom of each set of equivalent atoms:
Zr 0.0000 0.0000 0.0000 (multiplicity 3)  6 Zr 2.85, 6 Tc 3.01
Tc 0.0000 0.0000 0.2471 (multiplicity 6)  6 Tc 2.85, 3 Au 2.87, 3 Zr 3.01
Au 0.0000 0.0000 0.5000 (multiplicity 3)  6 Au 2.85, 6 Tc 2.87

---

No. 11
Below is a relaxed ZrTcAu2 crystal, with properties calculated at the PBE-GGA level.

Summary:
Formation enthalpy at 0 K = -193 meV/atom
Distance to the lowest polymorph of the same formula = 33 meV/atom
Final energy = -6.56 eV per atom
DOS(E_F) = 1.020 states/eV/atom
M_tot = 0.5 μB per formula unit

a b c (Å): 4.0232 4.0232 8.7196
angles (deg): 90.00 90.00 90.00
With the nearest neighbours (Å) after each atom.
Space group I4/mmm (No. 139)
One atom of each set of equivalent atoms:
Zr 0.0000 0.0000 0.0000 (multiplicity 2)  4 Tc 2.84, 8 Au 2.97
Tc 0.0000 0.0000 0.5000 (multiplicity 2)  4 Zr 2.84, 8 Au 2.97
Au 0.0000 0.5000 0.2500 (multiplicity 4)  4 Au 2.84, 4 Zr 2.97, 4 Tc 2.97

---

No. 12
Below is a relaxed ZrTc2Au crystal, with properties calculated at the PBE-GGA level.

Summary:
Formation enthalpy at 0 K = -78 meV/atom
Distance to the lowest polymorph of the same formula = 14 meV/atom
Final energy = -8.22 eV per atom
DOS(E_F) = 0.900 states/eV/atom
M_tot = 0.0 μB per formula unit

a b c (Å): 3.8368 4.3499 8.1427
angles (deg): 90.00 90.00 90.00
With the nearest neighbours (Å) after each atom.
Space group Imm2 (No. 44)
One atom of each set of equivalent atoms:
Zr 0.0000 0.0000 0.0000 (multiplicity 2)  8 Tc 2.83-2.95, 4 Au 2.89-2.90
Tc 0.0000 0.0000 0.4696 (multiplicity 2)  2 Tc 2.60, 4 Au 2.88-2.90
Tc 0.0000 0.5000 0.7548 (multiplicity 2)  2 Tc 2.60, 2 Zr 2.83, 4 Au 2.91
Au 0.0000 0.5000 0.2336 (multiplicity 2)  8 Tc 2.88-2.91, 4 Zr 2.89-2.90

---

No. 13
Below is a relaxed ZrTcAu crystal, with properties calculated at the PBE-GGA level.

Summary:
Formation enthalpy at 0 K = 23 meV/atom
Distance to the lowest polymorph of the same formula = 125 meV/atom
Final energy = -7.37 eV per atom
DOS(E_F) = 0.987 states/eV/atom
M_tot = 0.0 μB per formula unit

a b c (Å): 4.7572 4.7572 2.7293
angles (deg): 90.00 90.00 120.00
With the nearest neighbours (Å) after each atom.
Space group P3m1 (No. 156)
One atom of each set of equivalent atoms:
Zr 0.0000 0.0000 0.0000 (multiplicity 1)  2 Zr 2.73, 3 Tc 2.86, 3 Au 2.88
Tc 0.6667 0.3333 0.7128 (multiplicity 1)  2 Tc 2.73, 3 Zr 2.86, 3 Au 2.95
Au 0.3333 0.6667 0.3229 (multiplicity 1)  2 Au 2.73, 3 Zr 2.88, 3 Tc 2.95

---

No. 14
Below is a relaxed Zr4TcAu3 crystal, with properties calculated at the PBE-GGA level.

Summary:
Formation enthalpy at 0 K = -484 meV/atom
Final energy = -7.28 eV per atom
DOS(E_F) = 0.906 states/eV/atom
M_tot = 0.0 μB per formula unit

a b c (Å): 3.3296 3.3296 14.2017
angles (deg): 90.00 90.00 90.00
With the nearest neighbours (Å) after each atom.
Space group P4/mmm (No. 123)
One atom of each set of equivalent atoms:
Zr 0.0000 0.0000 0.1117 (multiplicity 2)  4 Tc 2.84, 4 Au 2.98, 1 Zr 3.17
Zr 0.0000 0.0000 0.3697 (multiplicity 2)  8 Au 2.99, 4 Zr 3.33
Tc 0.5000 0.5000 0.0000 (multiplicity 1)  8 Zr 2.84
Au 0.5000 0.5000 0.2400 (multiplicity 2)  8 Zr 2.98-2.99, 4 Au 3.33
Au 0.5000 0.5000 0.5000 (multiplicity 1)  8 Zr 2.99, 4 Au 3.33

---

No. 15
Below is a relaxed Zr2TcAu crystal, with properties calculated at the PBE-GGA level.

Summary:
Formation enthalpy at 0 K = -490 meV/atom
Final energy = -8.17 eV per atom
DOS(E_F) = 0.799 states/eV/atom
M_tot = 0.0 μB per formula unit

a b c (Å): 3.3670 3.3670 6.7325
angles (deg): 90.00 90.00 90.00
With the nearest neighbours (Å) after each atom.
Space group P4/mmm (No. 123)
One atom of each set of equivalent atoms:
Zr 0.0000 0.0000 0.2332 (multiplicity 2)  4 Tc 2.85, 4 Au 2.98, 1 Zr 3.14
Tc 0.5000 0.5000 0.0000 (multiplicity 1)  8 Zr 2.85
Au 0.5000 0.5000 0.5000 (multiplicity 1)  8 Zr 2.98